Record 1
Pm2Sn5Rh3 | PBE | optimized geometry Values from VASP.

```
&SYSTEM
  ibrav = 0, nat = 20, ntyp = 3
/
ATOMIC_SPECIES
Rh 102.91 Rh.upf
Sn 118.71 Sn.upf
Pm 145.00 Pm.upf
ATOMIC_POSITIONS crystal
Rh 0.2227 0.2232 0.4454
Rh 0.6065 0.5075 0.2129
Rh 0.7773 0.7232 0.5546
Rh 0.3935 0.0075 0.7871
Rh 0.0506 0.9734 0.1012
Rh 0.9494 0.4734 0.8988
Sn 0.7099 0.0122 0.4198
Sn 0.8791 0.7568 0.7582
Sn 0.9517 0.0902 0.9034
Sn 0.1209 0.2568 0.2418
Sn 0.2901 0.5122 0.5802
Sn 0.7055 0.4369 0.4109
Sn 0.4038 0.3794 0.8075
Sn 0.0483 0.5902 0.0966
Sn 0.2945 0.9369 0.5891
Sn 0.5962 0.8794 0.1925
Pm 0.1723 0.7310 0.3447
Pm 0.5242 0.2541 0.0483
Pm 0.4758 0.7541 0.9517
Pm 0.8277 0.2310 0.6553
CELL_PARAMETERS angstrom
-3.2763 -0.6828 3.0056
4.5251 -4.0836 4.0050
5.5231 11.2246 5.2045
```

The calculated formation energy is -0.731 eV/atom. The calculated volume comes out at 438.3 Å³/cell. For the density of states at the Fermi level, the calculation gives 0.508 states/eV/atom. Its crystal system is orthorhombic. The calculation puts the energy at -117.77 eV for the cell shown.


Record 2
MnBe2In | PBE | optimized geometry Values from VASP.

```
&SYSTEM
  ibrav = 0, nat = 4, ntyp = 3
/
ATOMIC_SPECIES
Mn 54.94 Mn.upf
Be 9.01 Be.upf
In 114.82 In.upf
ATOMIC_POSITIONS crystal
Mn 0.2500 0.7500 0.5000
Be 0.4752 0.4752 0.0000
Be 0.0248 0.0248 0.0000
In 0.7500 0.2500 0.5000
CELL_PARAMETERS angstrom
-2.5633 3.3012 -2.5000
0.0842 -0.4887 -4.8448
-1.1833 -2.1592 4.2019
```

The calculated formation energy is 0.405 eV/atom. The calculated volume comes out at 51.7 Å³/cell. For the density of states at the Fermi level, the calculation gives 0.399 states/eV/atom. Its crystal system is orthorhombic. The calculation puts the energy at -17.74 eV for the cell shown.


Record 3
VCu4Pt | PBE | optimized geometry Values from VASP.

```
&SYSTEM
  ibrav = 0, nat = 6, ntyp = 3
/
ATOMIC_SPECIES
Cu 63.55 Cu.upf
Pt 195.08 Pt.upf
V 50.94 V.upf
ATOMIC_POSITIONS crystal
Cu 0.6249 0.1252 0.6249
Cu 0.6249 0.6249 0.6249
Cu 0.6249 0.6249 0.1252
Cu 0.1252 0.6249 0.6249
Pt 0.0000 0.0000 0.0000
V 0.2500 0.2500 0.2500
CELL_PARAMETERS angstrom
-3.7633 2.4143 1.6570
-3.7012 -2.3486 1.8767
-0.8229 0.2056 4.6923
```

The calculated formation energy is -0.014 eV/atom. The calculated volume comes out at 76.7 Å³/cell. For the density of states at the Fermi level, the calculation gives 0.960 states/eV/atom. Its crystal system is cubic. The calculation puts the energy at -31.63 eV for the cell shown.